[1]
Computed, not measured: TaInAs2Se after structural relaxation at the GGA-PBE level of DFT.

abc: 5.084 5.084 5.028
angles: 90.00 90.00 90.00
Fractional positions:
Ta 0.000 0.000 0.000
Se 0.000 0.000 0.500
As 0.000 0.500 0.000
As 0.500 0.000 0.000
In 0.500 0.500 0.500

Summary:
* volume: 26.0 A^3/atom
* total energy: -27.21 eV per cell
* energy above the most stable polymorph in this dataset: 0 meV/atom

---

[2]
Computed, not measured: BaTl4Au after structural relaxation at the GGA-PBE level of DFT.

abc: 6.476 6.476 6.476
angles: 60.00 60.00 60.00
Fractional positions:
Tl 0.873 0.376 0.376
Tl 0.376 0.873 0.376
Tl 0.376 0.376 0.376
Tl 0.376 0.376 0.873
Au 0.750 0.750 0.750
Ba 0.000 0.000 0.000

Summary:
* formation energy: -0.052 eV per atom
* volume: 32.0 A^3/atom
* total energy: -14.98 eV per cell

---

> What is the total energy in the first record?

-27.21 eV per cell